Record 1
# IrPt2 (SCAN, PBEsol geometry)
data_IrPt2
_cell_length_a 2.722
_cell_length_b 4.576
_cell_length_c 7.229
_cell_angle_alpha 90.00
_cell_angle_beta 100.85
_cell_angle_gamma 90.00
_space_group_name_H-M_alt 'P 1'
_space_group_IT_number 1
_space_group_name_Hall 'P 1'
loop_
_atom_site_label
_atom_site_type_symbol
_atom_site_fract_x
_atom_site_fract_y
_atom_site_fract_z
Pt1 Pt 0.556 0.250 0.112
Pt2 Pt 0.444 0.750 0.888
Ir1 Ir 0.223 0.250 0.447
Pt3 Pt 0.885 0.250 0.771
Pt4 Pt 0.115 0.750 0.229
Ir2 Ir 0.777 0.750 0.553
# Distance to the lowest polymorph of the same formula ... 1.761 kcal/mol of atoms
# Space-group type ... Cmcm
# ΔH_f (0 K) ... 0.1665 eV per atom

Record 2
# ReNi2Pt (SCAN, PBEsol geometry)
data_ReNi2Pt
_cell_length_a 3.620
_cell_length_b 3.620
_cell_length_c 4.593
_cell_angle_alpha 113.21
_cell_angle_beta 113.21
_cell_angle_gamma 90.00
_space_group_name_H-M_alt 'P 1'
_space_group_IT_number 1
_space_group_name_Hall 'P 1'
loop_
_atom_site_label
_atom_site_type_symbol
_atom_site_fract_x
_atom_site_fract_y
_atom_site_fract_z
Ni1 Ni 0.500 0.500 0.000
Ni2 Ni 0.750 0.250 0.500
Re1 Re 0.250 0.750 0.500
Pt1 Pt 0.000 0.000 0.000
# Distance to the lowest polymorph of the same formula ... 0.250 kcal/mol of atoms
# Space-group type ... I-4m2
# ΔH_f (0 K) ... -0.0553 eV per atom

Record 3
# Li4OsRu (SCAN, PBEsol geometry)
data_Li4OsRu
_cell_length_a 4.581
_cell_length_b 4.581
_cell_length_c 4.581
_cell_angle_alpha 60.00
_cell_angle_beta 60.00
_cell_angle_gamma 60.00
_space_group_name_H-M_alt 'P 1'
_space_group_IT_number 1
_space_group_name_Hall 'P 1'
loop_
_atom_site_label
_atom_site_type_symbol
_atom_site_fract_x
_atom_site_fract_y
_atom_site_fract_z
Li1 Li 0.375 0.375 0.874
Li2 Li 0.375 0.874 0.375
Ru1 Ru 0.000 0.000 0.000
Os1 Os 0.750 0.750 0.750
Li3 Li 0.375 0.375 0.375
Li4 Li 0.874 0.375 0.375
# Space-group type ... F-43m
# ΔH_f (0 K) ... 0.3742 eV per atom

Record 4
# LaCr4Cd (SCAN, PBEsol geometry)
data_LaCr4Cd
_cell_length_a 5.101
_cell_length_b 5.101
_cell_length_c 5.101
_cell_angle_alpha 60.00
_cell_angle_beta 60.00
_cell_angle_gamma 60.00
_space_group_name_H-M_alt 'P 1'
_space_group_IT_number 1
_space_group_name_Hall 'P 1'
loop_
_atom_site_label
_atom_site_type_symbol
_atom_site_fract_x
_atom_site_fract_y
_atom_site_fract_z
Cr1 Cr 0.623 0.623 0.623
La1 La 0.250 0.250 0.250
Cd1 Cd 0.000 0.000 0.000
Cr2 Cr 0.623 0.132 0.623
Cr3 Cr 0.132 0.623 0.623
Cr4 Cr 0.623 0.623 0.132
# Space-group type ... F-43m
# ΔH_f (0 K) ... 0.7073 eV per atom

Record 5
# Mg2MoRh (SCAN, PBEsol geometry)
data_Mg2MoRh
_cell_length_a 2.913
_cell_length_b 2.913
_cell_length_c 7.936
_cell_angle_alpha 90.00
_cell_angle_beta 90.00
_cell_angle_gamma 90.00
_space_group_name_H-M_alt 'P 1'
_space_group_IT_number 1
_space_group_name_Hall 'P 1'
loop_
_atom_site_label
_atom_site_type_symbol
_atom_site_fract_x
_atom_site_fract_y
_atom_site_fract_z
Rh1 Rh 0.500 0.500 0.736
Mg1 Mg 0.500 0.500 0.274
Mo1 Mo 0.000 0.000 0.531
Mg2 Mg 0.000 0.000 0.958
# Distance to the lowest polymorph of the same formula ... 0.000 kcal/mol of atoms
# Space-group type ... P4mm
# ΔH_f (0 K) ... -0.1087 eV per atom

Record 6
# TaRh2W (SCAN, PBEsol geometry)
data_TaRh2W
_cell_length_a 3.330
_cell_length_b 3.330
_cell_length_c 5.485
_cell_angle_alpha 90.00
_cell_angle_beta 90.00
_cell_angle_gamma 90.00
_space_group_name_H-M_alt 'P 1'
_space_group_IT_number 1
_space_group_name_Hall 'P 1'
loop_
_atom_site_label
_atom_site_type_symbol
_atom_site_fract_x
_atom_site_fract_y
_atom_site_fract_z
Rh1 Rh 0.000 0.000 0.254
Rh2 Rh 0.000 0.000 0.746
Ta1 Ta 0.500 0.500 0.000
W1 W 0.500 0.500 0.500
# Distance to the lowest polymorph of the same formula ... 6.046 kcal/mol of atoms
# Space-group type ... P4/mmm
# ΔH_f (0 K) ... -0.1005 eV per atom